Record 1
Y3Er7Th | Alexandria via LeMat-Bulk | PBE | relaxed; formation enthalpy at 0 K = 191 meV per atom
1.0
-0.646 8.500 -1.299
-4.671 0.438 5.190
6.824 0.727 1.364
Y Er Th
3 7 1
Cartesian
0.583 7.231 2.257
3.973 7.592 2.935
2.904 7.013 -0.322
4.797 1.716 1.854
1.442 1.358 1.183
-0.915 1.524 3.764
-3.032 4.282 3.968
-0.711 4.065 1.389
0.359 4.644 4.646
2.500 1.932 4.406
2.703 4.427 2.059



Record 2
TaSe2ClO8 | Alexandria via LeMat-Bulk | PBE | relaxed; raw formation energy = -0.932 eV/atom
1.0
-2.210 2.575 -3.941
-5.200 -0.053 -0.086
0.555 7.380 5.461
Ta Se Cl O
1 2 1 8
Cartesian
0.000 0.000 0.000
-4.884 3.189 -1.614
-1.971 6.712 3.047
0.277 3.690 2.731
-2.095 8.047 1.888
-5.800 2.383 -2.874
-5.655 4.635 -1.226
-1.200 5.265 2.659
-1.055 7.518 4.307
-3.577 6.745 3.798
-3.278 3.156 -2.364
-4.759 1.854 -0.454



Record 3
Co2TcGe2 | Alexandria via LeMat-Bulk | PBE | relaxed; formation enthalpy at 0 K = -77 meV per atom
1.0
6.913 0.000 0.000
0.000 6.913 0.000
0.000 0.000 2.667
Ge Co Tc
4 4 2
Cartesian
2.407 5.864 0.000
5.864 4.506 0.000
4.506 1.050 0.000
1.050 2.407 0.000
1.009 4.465 1.333
4.465 5.905 1.333
5.905 2.448 1.333
2.448 1.009 1.333
0.000 0.000 0.000
3.457 3.457 0.000



Record 4
Tb6Sm3TmTh2 | Alexandria via LeMat-Bulk | PBE | relaxed; formation enthalpy at 0 K = 20 meV per atom
1.0
-5.151 2.933 1.788
0.396 -2.347 -5.716
-2.824 -10.282 5.146
Tb Sm Tm Th
6 3 1 2
Cartesian
-6.629 -6.429 2.197
-4.240 -2.093 -1.662
-0.950 -3.267 -0.979
-4.764 -8.204 -0.325
-3.339 -7.604 2.881
-2.815 -1.492 1.543
-1.940 -6.608 -1.893
-5.639 -3.088 3.111
-3.789 -4.848 0.609
0.000 0.000 0.000
-1.453 -0.587 -3.214
-3.302 1.172 -0.714



Number 1: calculated total energy -56.7 eV per cell. Number 2: calculated total energy -71.5 eV per cell. Number 3: calculated total energy -68.4 eV per cell. Number 4: calculated total energy -61.0 eV per cell.